Here is crystalline K2MoOs at its relaxed geometry from Alexandria via LeMat-Bulk. Energies are from PBE.

Cell lengths 3.7863, 3.7863, 5.8927 Å; angles 90.00, 90.00, 90.00 degrees
Last column: nearest neighbours and their distance in Å.
Sites, in units of the cell vectors:
K  0.0000  0.5000  0.0000  4 K 2.68
K  0.5000  0.0000  0.0000  4 K 2.68
Mo  0.0000  0.0000  0.5000  4 Os 2.68
Os  0.5000  0.5000  0.5000  4 Mo 2.68

The calculation puts the volume at 84.48 Å³ per cell. The value obtained for the offset from the most stable computed form is 556 meV per atom. The calculation puts the formation energy at 1365 meV/atom.